#one
Density functional theory data (PBE) for NbBiNO after structural relaxation.

As for the space group: P4/nmm, No. 129. The total magnetic moment comes out at 0.00 μB/atom.

a = 4.081 Å, b = 4.081 Å, c = 8.293 Å
α = 90.00°, β = 90.00°, γ = 90.00°
Fractional positions:
O: 0.250 0.750 0.000
O: 0.750 0.250 0.000
Bi: 0.750 0.750 0.853
Bi: 0.250 0.250 0.147
Nb: 0.250 0.750 0.500
Nb: 0.750 0.250 0.500
N: 0.750 0.750 0.438
N: 0.250 0.250 0.562

---

#two
Density functional theory data (PBE) for NbBiNO after structural relaxation.

As for the space group: Pmc2_1, No. 26. The total magnetic moment comes out at 0.10 μB/atom.

a = 3.463 Å, b = 6.053 Å, c = 7.452 Å
α = 90.00°, β = 90.00°, γ = 90.00°
Fractional positions:
N: 0.000 0.906 0.243
N: 0.000 0.406 0.757
Nb: 0.500 0.506 0.856
Nb: 0.500 0.006 0.144
Bi: 0.000 0.534 0.447
Bi: 0.000 0.034 0.553
O: 0.500 0.308 0.060
O: 0.500 0.808 0.940

---

#three
Density functional theory data (PBE) for NbBiNO after structural relaxation.

As for the space group: Pmc2_1, No. 26. The total magnetic moment comes out at 0.00 μB/atom.

a = 3.331 Å, b = 6.710 Å, c = 6.686 Å
α = 90.00°, β = 90.00°, γ = 90.00°
Fractional positions:
N: 0.000 0.294 0.625
N: 0.000 0.794 0.375
O: 0.500 0.435 0.257
O: 0.500 0.935 0.743
Bi: 0.500 0.024 0.215
Bi: 0.500 0.524 0.785
Nb: 0.000 0.000 0.602
Nb: 0.000 0.500 0.398

---

#four
Density functional theory data (PBE) for NbBiNO after structural relaxation.

As for the space group: P4/nmm, No. 129. The total magnetic moment comes out at 0.00 μB/atom.

a = 4.307 Å, b = 4.307 Å, c = 7.885 Å
α = 90.00°, β = 90.00°, γ = 90.00°
Fractional positions:
Nb: 0.500 0.500 0.040
Nb: 0.000 0.000 0.960
Bi: 0.000 0.500 0.500
Bi: 0.500 0.000 0.500
O: 0.000 0.500 0.000
O: 0.500 0.000 0.000
N: 0.500 0.500 0.265
N: 0.000 0.000 0.735

---

Least stable: #one

---

#one
Density functional theory data (PBE) for BiOsNO after structural relaxation.

As for the space group: P4/nmm, No. 129. The total magnetic moment comes out at 0.00 μB/atom.

a = 4.217 Å, b = 4.217 Å, c = 8.251 Å
α = 90.00°, β = 90.00°, γ = 90.00°
Fractional positions:
Os: 0.500 0.500 0.065
Os: 0.000 0.000 0.935
N: 0.500 0.500 0.275
N: 0.000 0.000 0.725
O: 0.000 0.500 0.000
O: 0.500 0.000 0.000
Bi: 0.500 0.000 0.500
Bi: 0.000 0.500 0.500

---

#two
Density functional theory data (PBE) for BiOsNO after structural relaxation.

As for the space group: P4/nmm, No. 129. The total magnetic moment comes out at 0.00 μB/atom.

a = 4.429 Å, b = 4.429 Å, c = 5.779 Å
α = 90.00°, β = 90.00°, γ = 90.00°
Fractional positions:
Os: 0.000 0.500 0.036
Os: 0.500 0.000 0.964
O: 0.000 0.000 0.000
O: 0.500 0.500 0.000
N: 0.000 0.500 0.720
N: 0.500 0.000 0.280
Bi: 0.500 0.500 0.500
Bi: 0.000 0.000 0.500

---

Least stable: #two

---

#one
Density functional theory data (PBE) for PaBiNO after structural relaxation.

As for the space group: P4/nmm, No. 129. The total magnetic moment comes out at 0.01 μB/atom.

a = 4.671 Å, b = 4.671 Å, c = 6.767 Å
α = 90.00°, β = 90.00°, γ = 90.00°
Fractional positions:
Bi: 0.000 0.500 0.079
Bi: 0.500 0.000 0.921
Pa: 0.000 0.000 0.500
Pa: 0.500 0.500 0.500
N: 0.000 0.500 0.574
N: 0.500 0.000 0.426
O: 0.000 0.000 0.000
O: 0.500 0.500 0.000

---

#two
Density functional theory data (PBE) for PaBiNO after structural relaxation.

As for the space group: P4/nmm, No. 129. The total magnetic moment comes out at 0.25 μB/atom.

a = 3.987 Å, b = 3.987 Å, c = 8.845 Å
α = 90.00°, β = 90.00°, γ = 90.00°
Each line ends with the local moment (μB).
Fractional positions:
Pa: 0.250 0.250 0.147  1.00
Pa: 0.750 0.750 0.853  1.00
O: 0.750 0.250 0.000  -0.02
O: 0.250 0.750 0.000  -0.02
N: 0.750 0.750 0.246  -0.01
N: 0.250 0.250 0.754  -0.01
Bi: 0.750 0.250 0.500  0.00
Bi: 0.250 0.750 0.500  0.00

---

#three
Density functional theory data (PBE) for PaBiNO after structural relaxation.

As for the space group: Pmc2_1, No. 26. The total magnetic moment comes out at 0.00 μB/atom.

a = 4.065 Å, b = 5.950 Å, c = 7.157 Å
α = 90.00°, β = 90.00°, γ = 90.00°
Fractional positions:
O: 0.500 0.348 0.058
O: 0.500 0.848 0.942
N: 0.000 0.900 0.255
N: 0.000 0.400 0.745
Bi: 0.000 0.480 0.417
Bi: 0.000 0.980 0.583
Pa: 0.500 0.526 0.799
Pa: 0.500 0.026 0.201

---

#four
Density functional theory data (PBE) for PaBiNO after structural relaxation.

As for the space group: P4/nmm, No. 129. The total magnetic moment comes out at 0.07 μB/atom.

a = 4.544 Å, b = 4.544 Å, c = 7.424 Å
α = 90.00°, β = 90.00°, γ = 90.00°
Fractional positions:
Bi: 0.750 0.750 0.903
Bi: 0.250 0.250 0.097
O: 0.250 0.750 0.000
O: 0.750 0.250 0.000
Pa: 0.750 0.250 0.500
Pa: 0.250 0.750 0.500
N: 0.750 0.750 0.413
N: 0.250 0.250 0.587

---

Least stable: #four

---

#one
Density functional theory data (PBE) for PaBiNO after structural relaxation.

As for the space group: Pmc2_1, No. 26. The total magnetic moment comes out at 0.12 μB/atom.

a = 3.763 Å, b = 6.739 Å, c = 7.054 Å
α = 90.00°, β = 90.00°, γ = 90.00°
Fractional positions:
O: 0.500 0.941 0.800
O: 0.500 0.441 0.200
N: 0.000 0.315 0.610
N: 0.000 0.815 0.390
Bi: 0.500 0.006 0.258
Bi: 0.500 0.506 0.742
Pa: 0.000 0.992 0.657
Pa: 0.000 0.492 0.343

---

#two
Density functional theory data (PBE) for PaBiNO after structural relaxation.

As for the space group: Pca2_1, No. 29. The total magnetic moment comes out at 0.00 μB/atom.

a = 5.446 Å, b = 9.710 Å, c = 5.718 Å
α = 90.00°, β = 90.00°, γ = 90.00°
Fractional positions:
O: 0.265 0.249 0.685
O: 0.735 0.751 0.185
O: 0.765 0.751 0.685
O: 0.235 0.249 0.185
N: 0.751 0.029 0.169
N: 0.749 0.029 0.669
N: 0.251 0.971 0.169
N: 0.249 0.971 0.669
Pa: 0.537 0.876 0.922
Pa: 0.963 0.876 0.422
Pa: 0.037 0.124 0.922
Pa: 0.463 0.124 0.422
Bi: 0.110 0.594 0.927
Bi: 0.890 0.406 0.427
Bi: 0.390 0.594 0.427
Bi: 0.610 0.406 0.927

---

Least stable: #one

---

#one
Density functional theory data (PBE) for PmBiNO after structural relaxation.

As for the space group: P4/nmm, No. 129. The total magnetic moment comes out at 0.00 μB/atom.

a = 4.611 Å, b = 4.611 Å, c = 7.892 Å
α = 90.00°, β = 90.00°, γ = 90.00°
Fractional positions:
Bi: 0.500 0.500 0.500
Bi: 0.000 0.000 0.500
Pm: 0.500 0.000 0.098
Pm: 0.000 0.500 0.902
N: 0.500 0.000 0.385
N: 0.000 0.500 0.615
O: 0.000 0.000 0.000
O: 0.500 0.500 0.000

---

#two
Density functional theory data (PBE) for PmBiNO after structural relaxation.

As for the space group: P4/nmm, No. 129. The total magnetic moment comes out at 0.00 μB/atom.

a = 4.482 Å, b = 4.482 Å, c = 7.247 Å
α = 90.00°, β = 90.00°, γ = 90.00°
Fractional positions:
O: 0.750 0.250 0.000
O: 0.250 0.750 0.000
N: 0.750 0.750 0.332
N: 0.250 0.250 0.668
Pm: 0.750 0.750 0.901
Pm: 0.250 0.250 0.099
Bi: 0.750 0.250 0.500
Bi: 0.250 0.750 0.500

---

Least stable: #two

---

#one
Density functional theory data (PBE) for PmBiNO after structural relaxation.

As for the space group: Pmc2_1, No. 26. The total magnetic moment comes out at 0.00 μB/atom.

a = 3.864 Å, b = 5.997 Å, c = 6.906 Å
α = 90.00°, β = 90.00°, γ = 90.00°
Fractional positions:
O: 0.500 0.331 0.309
O: 0.500 0.831 0.691
N: 0.000 0.917 0.321
N: 0.000 0.417 0.679
Pm: 0.000 0.016 0.649
Pm: 0.000 0.516 0.351
Bi: 0.500 0.989 0.148
Bi: 0.500 0.489 0.852

---

#two
Density functional theory data (PBE) for PmBiNO after structural relaxation.

As for the space group: Pca2_1, No. 29. The total magnetic moment comes out at 0.00 μB/atom.

a = 7.104 Å, b = 7.638 Å, c = 5.699 Å
α = 90.00°, β = 90.00°, γ = 90.00°
Fractional positions:
Bi: 0.123 0.670 0.998
Bi: 0.877 0.330 0.498
Bi: 0.623 0.330 0.998
Bi: 0.377 0.670 0.498
N: 0.911 0.887 0.060
N: 0.411 0.113 0.060
N: 0.589 0.887 0.560
N: 0.089 0.113 0.560
O: 0.964 0.594 0.664
O: 0.536 0.594 0.164
O: 0.036 0.406 0.164
O: 0.464 0.406 0.664
Pm: 0.408 0.144 0.480
Pm: 0.908 0.856 0.480
Pm: 0.592 0.856 0.980
Pm: 0.092 0.144 0.980

---

Least stable: #two